18
Lattice="-1.227 -0.697 3.874 -0.261 -7.406 -1.415 12.284 -1.390 3.642" Properties=species:S:1:pos:R:3 comment="SmInRh | the Alexandria database | GGA-PBE | optimized geometry" delta_e_f_ev_per_atom=-0.7117 dft_energy_ev_per_atom=-5.648 pbc="T T T"
Sm 3.561 -5.056 3.509
Sm 8.211 -8.183 2.226
Sm 2.585 -1.311 3.874
Sm -0.090 -5.517 2.270
Sm 7.236 -4.437 2.591
Sm 10.886 -3.976 3.831
In 0.508 -7.679 -0.124
In 5.065 -7.173 1.411
In 8.688 -6.207 4.927
In 5.731 -2.320 4.690
In 2.108 -3.287 1.174
In 10.288 -1.814 6.225
Rh 10.759 -7.011 3.244
Rh 8.233 -3.428 5.283
Rh 6.070 -6.891 3.974
Rh 0.037 -2.483 2.856
Rh 4.727 -2.602 2.126
Rh 2.563 -6.065 0.818

***

10
Lattice="3.559 0.000 0.000 0.000 3.559 0.000 0.000 0.000 18.002" Properties=species:S:1:pos:R:3 comment="Sm5InRh4 | the Alexandria database | GGA-PBE | optimized geometry" delta_e_f_ev_per_atom=-0.6649 dft_energy_ev_per_atom=-6.239 pbc="T T T"
Sm 1.779 1.779 2.192
Sm 1.779 1.779 5.582
Sm 1.779 1.779 9.001
Sm 1.779 1.779 12.420
Sm 1.779 1.779 15.810
In 0.000 0.000 0.000
Rh 0.000 0.000 3.851
Rh 0.000 0.000 7.288
Rh 0.000 0.000 10.714
Rh 0.000 0.000 14.151

***

3
Lattice="-0.505 -4.383 -1.688 3.382 -1.895 -2.699 2.681 -3.504 1.687" Properties=species:S:1:pos:R:3 comment="SmInRh | the Alexandria database | GGA-PBE | optimized geometry" delta_e_f_ev_per_atom=-0.5740 dft_energy_ev_per_atom=-5.510 pbc="T T T"
Rh 1.390 -2.446 -0.675
Sm 0.000 0.000 0.000
In 2.779 -4.891 -1.350

***

12
Lattice="4.689 0.000 0.000 -2.344 4.061 0.000 0.000 0.000 11.540" Properties=species:S:1:pos:R:3 comment="SmIn2Rh3 | the Alexandria database | GGA-PBE | optimized geometry" delta_e_f_ev_per_atom=-0.5816 dft_energy_ev_per_atom=-5.957 pbc="T T T"
Sm 0.000 2.707 7.739
Sm 2.344 1.354 3.801
In 0.000 0.000 5.770
In 0.000 2.707 1.902
In 2.344 1.354 9.638
In 0.000 0.000 0.000
Rh 0.000 2.707 4.806
Rh 2.344 1.354 0.867
Rh 0.000 0.000 8.812
Rh 0.000 0.000 2.728
Rh 0.000 2.707 10.673
Rh 2.344 1.354 6.733

***

9
Lattice="-1.278 -3.563 -6.607 2.206 -3.978 6.106 -3.812 -0.537 1.027" Properties=species:S:1:pos:R:3 comment="SmInRh | the Alexandria database | GGA-PBE | optimized geometry" delta_e_f_ev_per_atom=-0.7305 dft_energy_ev_per_atom=-5.667 pbc="T T T"
Sm -1.006 -1.891 3.004
Sm -1.356 -4.734 0.217
Sm -2.427 -1.722 -2.181
In 0.236 -1.918 -0.127
In 1.645 -2.966 4.553
In -0.953 -2.657 -4.926
Rh 1.045 -3.840 1.869
Rh -1.906 -0.269 0.513
Rh -0.116 -3.701 -2.369

***

16
Lattice="5.990 0.000 0.000 0.000 7.190 -4.151 0.000 0.000 8.302" Properties=species:S:1:pos:R:3 comment="Sm3In2Rh3 | the Alexandria database | GGA-PBE | optimized geometry" delta_e_f_ev_per_atom=-0.6458 dft_energy_ev_per_atom=-5.857 pbc="T T T"
Sm 4.492 1.950 -1.126
Sm 4.492 5.240 3.025
Sm 4.492 0.000 2.252
Sm 1.497 5.240 -3.025
Sm 1.497 1.950 1.126
Sm 1.497 0.000 6.050
In 0.000 2.397 4.151
In 2.995 4.793 0.000
In 0.000 4.793 0.000
In 2.995 2.397 4.151
Rh 4.492 4.353 -2.513
Rh 4.492 2.837 1.638
Rh 4.492 0.000 5.026
Rh 1.497 2.837 -1.638
Rh 1.497 4.353 2.513
Rh 1.497 0.000 3.276

***

6
Lattice="-0.576 4.331 -1.638 -2.794 1.247 4.279 5.586 -0.799 2.569" Properties=species:S:1:pos:R:3 comment="SmInRh | the Alexandria database | GGA-PBE | optimized geometry" delta_e_f_ev_per_atom=-0.6578 dft_energy_ev_per_atom=-5.594 pbc="T T T"
Sm 1.702 4.036 3.425
Sm 0.514 0.744 1.785
In -1.596 3.369 2.821
In 3.813 1.411 2.389
Rh -0.149 1.617 4.327
Rh 2.365 3.162 0.883

***

14
Lattice="-2.394 3.325 1.626 -2.226 -5.093 1.162 7.197 -0.497 11.612" Properties=species:S:1:pos:R:3 comment="Sm3InRh3 | the Alexandria database | GGA-PBE | optimized geometry" delta_e_f_ev_per_atom=-0.7231 dft_energy_ev_per_atom=-6.287 pbc="T T T"
Sm 5.075 -1.801 11.155
Sm -2.498 -0.464 3.245
Sm 3.012 -1.659 7.827
Sm -0.435 -0.606 6.574
Sm 2.134 -3.644 10.592
Sm 0.443 1.379 3.808
In -1.197 1.662 0.813
In 2.402 1.414 6.619
Rh 2.545 -1.577 12.946
Rh 0.032 -0.688 1.454
Rh 0.291 -1.421 9.310
Rh 2.286 -0.844 5.091
Rh 2.509 -0.406 10.499
Rh 0.069 -1.859 3.902

***

| no. | calculated volume (Å³/cell) |
| --- | --- |
| 1 | 400.81 |
| 2 | 228.00 |
| 3 | 74.55 |
| 4 | 219.71 |
| 5 | 200.04 |
| 6 | 357.49 |
| 7 | 138.56 |
| 8 | 315.35 |